Compound: PaFeCu2O6
Source: Alexandria via LeMat-Bulk
Functional: GGA+U
Structure: relaxed

N(E_F)   0.2491 states/eV per atom
SG   C2/c, No. 15
Raw total energy   -6.89 eV per atom

```
20
Lattice="-2.223 -1.467 -4.465 -4.774 -2.908 3.610 -4.291 5.028 0.761" Properties=species:S:1:pos:R:3 pbc="T T T"
Fe -5.292 -2.653 2.270
Fe -5.996 3.307 -2.365
O -4.500 2.168 -1.598
O -9.429 1.816 1.115
O -6.788 -1.514 1.504
O -2.881 -0.409 -3.975
O -4.473 -0.269 -0.186
O -8.408 1.063 3.881
O -3.654 -1.456 2.198
O -1.860 -1.163 -1.209
O -5.534 -0.164 -2.719
O -6.815 0.923 0.092
O -7.635 2.109 -2.292
O -5.755 0.818 2.625
Cu -8.478 1.541 -0.602
Cu -3.789 0.570 -2.511
Cu -2.811 -0.887 0.508
Cu -7.499 0.083 2.416
Pa -6.276 -1.291 -0.714
Pa -5.012 1.945 0.620
```